1.
VASP calculation (PBE) on a geometry-optimized Ca2PdPt2 structure.

Structure (POSCAR):
```
Ca2PdPt2
1.0
3.728 0.000 0.000
0.000 3.728 0.000
0.000 0.000 16.323
Ca Pd Pt
4 2 4
direct
0.000 0.000 0.106
0.000 0.000 0.894
0.500 0.500 0.394
0.500 0.500 0.606
0.000 0.000 0.500
0.500 0.500 0.000
0.000 0.500 0.250
0.000 0.500 0.750
0.500 0.000 0.250
0.500 0.000 0.750
```

Uncorrected energy: -4.825 eV/atom



2.
VASP calculation (PBE) on a geometry-optimized Pu4Cu structure.

Structure (POSCAR):
```
Pu4Cu
1.0
5.360 0.000 0.000
0.000 5.360 0.000
0.000 0.000 5.360
Pu Cu
4 1
direct
0.000 0.000 0.000
0.000 0.500 0.500
0.500 0.000 0.500
0.500 0.500 0.000
0.500 0.500 0.500
```

Uncorrected energy: -11.545 eV/atom



3.
VASP calculation (PBE) on a geometry-optimized CaAg4Sb structure.

Structure (POSCAR):
```
CaAg4Sb
1.0
0.000 4.014 4.014
4.014 0.000 4.014
4.014 4.014 0.000
Ca Ag Sb
1 4 1
direct
0.000 0.000 0.000
0.375 0.375 0.375
0.375 0.375 0.876
0.375 0.876 0.375
0.876 0.375 0.375
0.750 0.750 0.750
```

Uncorrected energy: -3.144 eV/atom



4.
VASP calculation (PBE) on a geometry-optimized SrTaBe2 structure.

Structure (POSCAR):
```
SrTaBe2
1.0
3.888 0.000 0.000
0.000 3.888 0.000
0.000 0.000 9.558
Sr Ta Be
2 2 4
direct
0.000 0.000 0.000
0.500 0.500 0.500
0.000 0.500 0.750
0.500 0.000 0.250
0.000 0.000 0.500
0.000 0.500 0.250
0.500 0.000 0.750
0.500 0.500 0.000
```

Polymorph energy (0 for the lowest one): 0.7302 eV/atom
Uncorrected energy: -4.152 eV/atom